[1]
Material: Li3GaF
Method: DFT, meta-GGA SCAN
State: single point on PBEsol structure

Unit cell a=4.0101 b=4.0101 c=4.0101 alpha=90.00 beta=90.00 gamma=90.00
Last column: nearest neighbours and their distance in Å.
Fractional positions:
Li: 0.0000 0.0000 0.5000  2 F 2.01
Li: 0.0000 0.5000 0.0000  2 F 2.01
Li: 0.5000 0.0000 0.0000  2 F 2.01
Ga: 0.5000 0.5000 0.5000  12 Li 2.84
F: 0.0000 0.0000 0.0000  6 Li 2.01

Results
**E_form (uncorrected)**: -6.1 eV per formula unit
**N(E_F)**: 1.80 states/eV/cell
**Spin magnetization**: 0.000 μB per atom
**Space group**: Pm-3m, No. 221
**Calculated volume**: 12.90 Å³ per atom



[2]
Material: LiMnGaF6
Method: DFT, meta-GGA SCAN
State: single point on PBEsol structure

Unit cell a=8.6320 b=8.6320 c=4.7126 alpha=90.00 beta=90.00 gamma=120.00
Last column: nearest neighbours and their distance in Å.
Fractional positions:
Li: 0.0000 0.7051 0.0000  6 F 1.97-2.14
Li: 0.2949 0.2949 0.0000  6 F 1.97-2.14
Li: 0.7051 0.0000 0.0000  6 F 1.97-2.14
Mn: 0.0000 0.3639 0.5000  6 F 2.08-2.16
Mn: 0.3639 0.0000 0.5000  6 F 2.08-2.16
Mn: 0.6361 0.6361 0.5000  6 F 2.08-2.16
Ga: 0.0000 0.0000 0.5000  6 F 1.91
Ga: 0.3333 0.6667 0.9990  6 F 1.90-1.91
Ga: 0.6667 0.3333 0.0010  6 F 1.90-1.91
F: 0.0982 0.2117 0.7247  1 Ga 1.91, 1 Li 1.97
F: 0.1135 0.9018 0.7247  1 Ga 1.91, 1 Li 1.97
F: 0.1238 0.5816 0.7717  1 Ga 1.91, 1 Mn 2.08
F: 0.2117 0.0982 0.2753  1 Ga 1.91, 1 Li 1.97
F: 0.2224 0.4547 0.2225  1 Ga 1.90, 1 Li 2.06, 1 Mn 2.12
F: 0.2323 0.7776 0.2225  1 Ga 1.90, 1 Li 2.06, 1 Mn 2.12
F: 0.4184 0.5422 0.7717  1 Ga 1.91, 1 Mn 2.08
F: 0.4547 0.2224 0.7775  1 Ga 1.90, 1 Li 2.06, 1 Mn 2.12
F: 0.4578 0.8762 0.7717  1 Ga 1.91, 1 Mn 2.08
F: 0.5422 0.4184 0.2283  1 Ga 1.91, 1 Mn 2.08
F: 0.5453 0.7677 0.2225  1 Ga 1.90, 1 Li 2.06, 1 Mn 2.12
F: 0.5816 0.1238 0.2283  1 Ga 1.91, 1 Mn 2.08
F: 0.7677 0.5453 0.7775  1 Ga 1.90, 1 Li 2.06, 1 Mn 2.12
F: 0.7776 0.2323 0.7775  1 Ga 1.90, 1 Li 2.06, 1 Mn 2.12
F: 0.7883 0.8865 0.7247  1 Ga 1.91, 1 Li 1.97
F: 0.8762 0.4578 0.2283  1 Ga 1.91, 1 Mn 2.08
F: 0.8865 0.7883 0.2753  1 Ga 1.91, 1 Li 1.97
F: 0.9018 0.1135 0.2753  1 Ga 1.91, 1 Li 1.97

Results
**E_form (uncorrected)**: -26.5 eV per formula unit
**N(E_F)**: 0.00 states/eV/cell
**Spin magnetization**: 0.556 μB per atom
**Space group**: P321, No. 150
**Calculated volume**: 11.26 Å³ per atom



[3]
Material: LiGaPO4F
Method: DFT, meta-GGA SCAN
State: single point on PBEsol structure

Unit cell a=5.1027 b=5.2312 c=7.1821 alpha=106.97 beta=108.70 gamma=98.50
Last column: nearest neighbours and their distance in Å.
Fractional positions:
Li: 0.2254 0.3800 0.3075  1 F 1.90, 3 O 2.01-2.11
Li: 0.7746 0.6200 0.6925  1 F 1.90, 3 O 2.01-2.11
Ga: 0.5000 0.0000 0.0000  4 O 1.93, 2 F 1.97
Ga: 0.5000 0.0000 0.5000  4 O 1.91-1.97, 2 F 1.95
P: 0.1796 0.3548 0.7372  4 O 1.52-1.57
P: 0.8204 0.6452 0.2628  4 O 1.52-1.57
O: 0.1331 0.7605 0.4265  1 P 1.55
O: 0.1935 0.6627 0.8443  1 P 1.55
O: 0.2442 0.2064 0.8939  1 P 1.52
O: 0.3877 0.3360 0.6167  1 P 1.57
O: 0.6123 0.6640 0.3833  1 P 1.57
O: 0.7558 0.7936 0.1061  1 P 1.52
O: 0.8065 0.3373 0.1557  1 P 1.55
O: 0.8669 0.2395 0.5735  1 P 1.55
F: 0.3673 0.0651 0.2349  1 Li 1.90, 2 Ga 1.95-1.97
F: 0.6327 0.9349 0.7651  1 Li 1.90, 2 Ga 1.95-1.97

Results
**E_form (uncorrected)**: -20.4 eV per formula unit
**N(E_F)**: 0.00 states/eV/cell
**Spin magnetization**: 0.000 μB per atom
**Space group**: P-1, No. 2
**Calculated volume**: 10.46 Å³ per atom



[4]
Material: Rb2LiGaF6
Method: DFT, meta-GGA SCAN
State: single point on PBEsol structure

Unit cell a=10.0580 b=10.0580 c=10.0580 alpha=33.65 beta=33.65 gamma=33.65
Last column: nearest neighbours and their distance in Å.
Fractional positions:
Rb: 0.1271 0.1271 0.1271  12 F 2.92-2.98
Rb: 0.2835 0.2835 0.2835  12 F 2.85-3.08
Rb: 0.7165 0.7165 0.7165  12 F 2.85-3.08
Rb: 0.8729 0.8729 0.8729  12 F 2.92-2.98
Li: 0.4036 0.4036 0.4036  6 F 2.00-2.18
Li: 0.5964 0.5964 0.5964  6 F 2.00-2.18
Ga: 0.0000 0.0000 0.0000  6 F 1.92
Ga: 0.5000 0.5000 0.5000  6 F 1.90
F: 0.1603 0.6085 0.6085  1 Ga 1.90
F: 0.1952 0.1952 0.7247  1 Ga 1.92, 1 Li 2.00
F: 0.1952 0.7247 0.1952  1 Ga 1.92, 1 Li 2.00
F: 0.2753 0.8048 0.8048  1 Ga 1.92, 1 Li 2.00
F: 0.3915 0.3915 0.8397  1 Ga 1.90
F: 0.3915 0.8397 0.3915  1 Ga 1.90
F: 0.6085 0.1603 0.6085  1 Ga 1.90
F: 0.6085 0.6085 0.1603  1 Ga 1.90
F: 0.7247 0.1952 0.1952  1 Ga 1.92, 1 Li 2.00
F: 0.8048 0.2753 0.8048  1 Ga 1.92, 1 Li 2.00
F: 0.8048 0.8048 0.2753  1 Ga 1.92, 1 Li 2.00
F: 0.8397 0.3915 0.3915  1 Ga 1.90

Results
**E_form (uncorrected)**: -30.4 eV per formula unit
**N(E_F)**: 0.00 states/eV/cell
**Spin magnetization**: 0.000 μB per atom
**Space group**: R-3m, No. 166
**Calculated volume**: 13.92 Å³ per atom



[5]
Material: Rb2LiGaF6
Method: DFT, meta-GGA SCAN
State: single point on PBEsol structure

Unit cell a=5.7554 b=5.7554 c=5.7554 alpha=60.00 beta=60.00 gamma=60.00
Last column: nearest neighbours and their distance in Å.
Fractional positions:
Rb: 0.2500 0.2500 0.2500  12 F 2.88
Rb: 0.7500 0.7500 0.7500  12 F 2.88
Li: 0.0000 0.0000 0.0000  6 F 2.15
Ga: 0.5000 0.5000 0.5000  6 F 1.92
F: 0.2637 0.2637 0.7363  1 Ga 1.92, 1 Li 2.15
F: 0.2637 0.7363 0.2637  1 Ga 1.92, 1 Li 2.15
F: 0.2637 0.7363 0.7363  1 Ga 1.92, 1 Li 2.15
F: 0.7363 0.2637 0.2637  1 Ga 1.92, 1 Li 2.15
F: 0.7363 0.2637 0.7363  1 Ga 1.92, 1 Li 2.15
F: 0.7363 0.7363 0.2637  1 Ga 1.92, 1 Li 2.15

Results
**E_form (uncorrected)**: -30.4 eV per formula unit
**N(E_F)**: 0.00 states/eV/cell
**Spin magnetization**: 0.000 μB per atom
**Space group**: Fm-3m, No. 225
**Calculated volume**: 13.48 Å³ per atom



[6]
Material: LiGa2RhF
Method: DFT, meta-GGA SCAN
State: single point on PBEsol structure

Unit cell a=4.7205 b=4.7205 c=4.2695 alpha=90.00 beta=90.00 gamma=90.00
Last column: nearest neighbours and their distance in Å.
Fractional positions:
Li: 0.0000 0.0000 0.0000  8 Ga 3.18, 4 F 3.34
Ga: 0.0000 0.5000 0.5000  2 Rh 2.36
Ga: 0.5000 0.0000 0.5000  2 Rh 2.36
Rh: 0.5000 0.5000 0.5000  2 F 2.13, 4 Ga 2.36
F: 0.5000 0.5000 0.0000  2 Rh 2.13

Results
**E_form (uncorrected)**: -2.5 eV per formula unit
**N(E_F)**: 2.12 states/eV/cell
**Spin magnetization**: 0.000 μB per atom
**Space group**: P4/mmm, No. 123
**Calculated volume**: 19.03 Å³ per atom